# 1
4
Lattice="5.5469 0.0007 0.0000 2.5217 4.9405 0.0000 -4.0343 -2.4706 2.8963" Properties=species:S:1:pos:R:3 comment="LaZnW2, optimized geometry, DFT PBE" final_energy_ev_per_atom=-7.16 dos_at_fermi_per_ev_fu=4.59 pbc="T T T"
Zn 1.2609 2.4702 1.4481
La 2.7734 0.0003 1.4481
W 0.0000 0.0000 0.0000
W 4.0343 2.4706 0.0000



# 2
30
Lattice="5.9379 0.0008 -0.0014 2.9685 5.1432 -0.0024 0.0059 0.0064 15.8595" Properties=species:S:1:pos:R:3 comment="Sr4Ta2O9, optimized geometry, DFT PBE" de_polymorph_ev_per_fu=0.00 final_energy_ev_per_atom=-8.02 dos_at_fermi_per_ev_fu=0.00 raw_formation_energy_ev_per_atom=-3.01 pbc="T T T"
O 7.0277 2.3058 11.8923
O 4.0871 0.4088 1.6255
O 3.5388 3.3395 6.2994
O 7.6306 3.7594 14.2267
O 4.4209 3.0595 11.8940
O 6.3773 4.9412 11.8880
O 5.3734 1.8109 9.5564
O 4.8251 4.7416 14.2302
O 4.4913 2.0909 3.9617
O 1.8845 2.8446 3.9634
O 4.8213 4.7322 9.5513
O 3.5361 3.3276 1.6173
O 1.2816 1.3911 1.6291
O 1.2866 1.4015 6.3075
O 4.0909 0.4183 6.3045
O 5.3761 1.8228 14.2384
O 2.5349 0.2093 3.9677
O 7.6257 3.7489 9.5482
Sr 0.0029 0.0032 7.9298
Sr 5.9373 3.4262 2.1849
Sr 0.0000 0.0000 0.0000
Sr 2.9750 1.7243 13.6708
Sr 2.9697 5.1436 3.9648
Sr 5.9425 0.0068 11.8909
Sr 5.9404 3.4331 5.7413
Sr 2.9719 1.7173 10.1144
Ta 2.9699 1.7119 2.4504
Ta 5.9423 3.4385 13.4053
Ta 2.9708 1.7178 5.4771
Ta 5.9414 3.4326 10.3786



# 3
8
Lattice="-2.0909 -1.3595 1.0923 -1.5369 -4.1937 -4.7684 2.8070 -5.6323 1.7562" Properties=species:S:1:pos:R:3 comment="MgZn2Cu5, optimized geometry, DFT PBE" final_energy_ev_per_atom=-3.11 dos_at_fermi_per_ev_fu=2.46 pbc="T T T"
Mg 0.0000 0.0000 0.0000
Cu 0.6350 -4.9130 -1.5061
Cu 1.0134 -7.0065 0.0058
Cu 0.1521 -4.8369 1.0577
Cu -0.9729 -6.3487 -2.9776
Cu -1.8342 -4.1790 -1.9258
Zn -0.6180 -8.3832 -1.4370
Zn -0.2028 -2.8024 -0.4829



# 4
4
Lattice="0.0000 4.3986 4.3986 4.3986 0.0000 4.3986 4.3986 4.3986 0.0000" Properties=species:S:1:pos:R:3 comment="K2CaMo, optimized geometry, DFT PBE" de_polymorph_ev_per_fu=1.24 final_energy_ev_per_atom=-2.50 dos_at_fermi_per_ev_fu=3.58 pbc="T T T"
K 2.1993 2.1993 2.1993
K 6.5979 6.5979 6.5979
Mo 4.3986 4.3986 4.3986
Ca 0.0000 0.0000 0.0000



# 5
5
Lattice="3.7277 0.0000 0.0000 0.0000 3.7277 0.0000 0.0000 0.0000 3.0442" Properties=species:S:1:pos:R:3 comment="NiHSN2, optimized geometry, DFT PBE" de_polymorph_ev_per_fu=1.14 final_energy_ev_per_atom=-4.03 dos_at_fermi_per_ev_fu=3.19 pbc="T T T"
Ni 1.8639 1.8639 1.5221
N 1.8639 0.0000 0.0000
N 0.0000 1.8639 0.0000
H 0.0000 0.0000 0.0000
S 0.0000 0.0000 1.5221



# 6
8
Lattice="-5.0822 4.9179 -3.6248 -2.7164 -6.3759 -1.3933 -5.5423 2.0060 1.7683" Properties=species:S:1:pos:R:3 comment="TbY6Pu, optimized geometry, DFT PBE" final_energy_ev_per_atom=-7.16 dos_at_fermi_per_ev_fu=18.21 pbc="T T T"
Y -4.8138 -3.8018 -0.1694
Y -8.5271 4.3499 -3.0804
Y -4.3024 2.1939 -1.5524
Y -9.0386 -1.6459 -1.6974
Y -7.6963 1.5649 -0.9617
Y -5.6446 -1.0169 -2.2881
Tb -1.3582 -3.1879 -0.6967
Pu 0.0000 0.0000 0.0000



# 7
4
Lattice="4.4537 0.0000 0.0000 0.0000 4.4537 0.0000 0.0000 0.0000 6.3155" Properties=species:S:1:pos:R:3 comment="NdYTlTe, optimized geometry, DFT PBE" final_energy_ev_per_atom=-5.01 dos_at_fermi_per_ev_fu=3.26 raw_formation_energy_ev_per_atom=-0.83 pbc="T T T"
Te 2.2269 2.2269 3.1577
Tl 0.0000 0.0000 0.0000
Nd 2.2269 2.2269 0.0000
Y 0.0000 0.0000 3.1577



# 8
5
Lattice="3.9585 0.0000 0.0000 0.0000 3.9585 0.0000 0.0000 0.0000 11.8142" Properties=species:S:1:pos:R:3 comment="GaRuIN2, optimized geometry, DFT PBE" de_polymorph_ev_per_fu=0.00 final_energy_ev_per_atom=-5.05 dos_at_fermi_per_ev_fu=5.60 raw_formation_energy_ev_per_atom=1.05 pbc="T T T"
Ga 1.9793 1.9793 5.9071
N 1.9793 0.0000 0.0000
N 0.0000 1.9793 0.0000
I 0.0000 0.0000 5.9071
Ru 0.0000 0.0000 0.0000



# 9
4
Lattice="-1.9365 5.8440 0.5733 -3.6686 2.0730 4.5249 5.2522 -2.5774 -2.0006" Properties=species:S:1:pos:R:3 comment="TeOs2Pb, optimized geometry, DFT PBE" de_polymorph_ev_per_fu=1.93 final_energy_ev_per_atom=-6.36 dos_at_fermi_per_ev_fu=4.62 raw_formation_energy_ev_per_atom=0.96 pbc="T T T"
Os -0.4323 1.4768 2.3755
Os -0.1472 0.2079 0.1339
Te 0.0881 3.8505 0.7141
Pb -2.6641 3.7629 2.4231



# 10
18
Lattice="-5.1546 1.7526 1.2481 1.3991 -8.6678 5.4513 3.9048 5.7207 8.0938" Properties=species:S:1:pos:R:3 comment="Tb5PrEr2Tm, optimized geometry, DFT PBE" final_energy_ev_per_atom=-4.46 dos_at_fermi_per_ev_fu=13.88 pbc="T T T"
Tb -1.6936 1.9146 2.8155
Tb 0.5224 -2.6627 5.8966
Tb -0.7784 2.2345 6.1461
Tb -2.2431 -1.0606 4.7239
Tb -1.6606 -3.6347 10.7447
Tb 0.0511 2.0895 9.7756
Tb 0.0603 -0.1231 0.4220
Tb 2.0510 -0.6342 9.3614
Tb 1.7575 -3.2344 11.8004
Tb -0.8356 -6.0124 4.9920
Er -2.5688 -3.8658 7.3182
Er -0.2898 -0.4514 11.9359
Er 2.6298 2.5418 7.2918
Er 0.9746 0.0413 3.9671
Pr -1.2872 -0.8439 8.3676
Pr -0.4380 -3.0970 2.5399
Tm 0.9550 4.9976 9.4250
Tm 0.8109 -3.8239 8.7189



# 11
5
Lattice="5.2111 0.0000 0.0000 0.0000 5.2111 0.0000 0.0000 0.0000 3.4255" Properties=species:S:1:pos:R:3 comment="CuTe2RuN, optimized geometry, DFT PBE" de_polymorph_ev_per_fu=2.86 final_energy_ev_per_atom=-4.54 dos_at_fermi_per_ev_fu=6.38 raw_formation_energy_ev_per_atom=1.06 pbc="T T T"
Ru 2.6055 2.6055 1.7128
Te 2.6055 0.0000 0.0000
Te 0.0000 2.6055 0.0000
Cu 0.0000 0.0000 0.0000
N 0.0000 0.0000 1.7128



Q: What is the formula in the fourth record?
A: K2CaMo